# LaGdCo2 (PBE, relaxed)
# E_tot   -8.33 eV per atom
# Crystal system   tetragonal
# Distance to the lowest polymorph of the same formula   0.000 eV/atom
# Energy of formation   -0.0256 eV per atom
# D(E_F)   0.44 states/eV per atom
data_LaGdCo2
_cell_length_a 4.877
_cell_length_b 4.877
_cell_length_c 3.437
_cell_angle_alpha 90.00
_cell_angle_beta 90.00
_cell_angle_gamma 90.00
_symmetry_space_group_name_H-M 'P 4/m m m'
_symmetry_Int_Tables_number 123
_symmetry_space_group_name_Hall '-P 4 2'
loop_
_atom_site_label
_atom_site_type_symbol
_atom_site_fract_x
_atom_site_fract_y
_atom_site_fract_z
La1 La 0.000 0.000 0.000
Gd1 Gd 0.500 0.500 0.000
Co1 Co 0.000 0.500 0.500